# 1
# TmTePbAuSe2 (GGA-PBE, relaxed)
data_TmTePbAuSe2
_chemical_formula_sum 'Tm2 Te2 Pb2 Au2 Se4'
_space_group_name_H-M_alt 'P 1'
_space_group_IT_number 1
_cell_length_a 7.4621
_cell_length_b 7.4621
_cell_length_c 10.9435
_cell_angle_alpha 90.00
_cell_angle_beta 90.00
_cell_angle_gamma 148.25
loop_
_space_group_symop_operation_xyz
'x,y,z'
loop_
_atom_site_label
_atom_site_type_symbol
_atom_site_fract_x
_atom_site_fract_y
_atom_site_fract_z
Au1 Au 0.9675 0.0325 0.2500
Au2 Au 0.0325 0.9675 0.7500
Pb1 Pb 0.2905 0.7095 0.2500
Pb2 Pb 0.7095 0.2905 0.7500
Se1 Se 0.8642 0.1358 0.0504
Se2 Se 0.8642 0.1358 0.4496
Se3 Se 0.1358 0.8642 0.5504
Se4 Se 0.1358 0.8642 0.9496
Te1 Te 0.6021 0.3979 0.2500
Te2 Te 0.3979 0.6021 0.7500
Tm1 Tm 0.5000 0.5000 0.0000
Tm2 Tm 0.5000 0.5000 0.5000
# Space-group type: No. 63
# Uncorrected energy: -4.4301 eV per atom
# Total magnetization: 0.00 μB per formula unit



# 2
# TlPbAu3Se4 (GGA-PBE, relaxed)
data_TlPbAu3Se4
_chemical_formula_sum 'Tl1 Pb1 Au3 Se4'
_space_group_name_H-M_alt 'P 1'
_space_group_IT_number 1
_cell_length_a 6.3747
_cell_length_b 6.3747
_cell_length_c 6.3747
_cell_angle_alpha 90.00
_cell_angle_beta 90.00
_cell_angle_gamma 90.00
loop_
_space_group_symop_operation_xyz
'x,y,z'
loop_
_atom_site_label
_atom_site_type_symbol
_atom_site_fract_x
_atom_site_fract_y
_atom_site_fract_z
Au1 Au 0.5000 0.0000 0.0000
Au2 Au 0.0000 0.5000 0.0000
Au3 Au 0.0000 0.0000 0.5000
Pb1 Pb 0.0000 0.0000 0.0000
Se1 Se 0.7435 0.2565 0.2565
Se2 Se 0.2565 0.7435 0.2565
Se3 Se 0.2565 0.2565 0.7435
Se4 Se 0.7435 0.7435 0.7435
Tl1 Tl 0.5000 0.5000 0.5000
# Space-group type: No. 215
# Uncorrected energy: -3.2844 eV per atom



# 3
# Si3Pb2Au2 (GGA-PBE, relaxed)
data_Si3Pb2Au2
_chemical_formula_sum 'Si3 Pb2 Au2'
_space_group_name_H-M_alt 'P 1'
_space_group_IT_number 1
_cell_length_a 9.2982
_cell_length_b 9.2982
_cell_length_c 9.2982
_cell_angle_alpha 27.75
_cell_angle_beta 27.75
_cell_angle_gamma 27.75
loop_
_space_group_symop_operation_xyz
'x,y,z'
loop_
_atom_site_label
_atom_site_type_symbol
_atom_site_fract_x
_atom_site_fract_y
_atom_site_fract_z
Au1 Au 0.0062 0.0062 0.0062
Au2 Au 0.5056 0.5056 0.5056
Pb1 Pb 0.2447 0.2447 0.2447
Pb2 Pb 0.7564 0.7564 0.7564
Si1 Si 0.3613 0.3613 0.3613
Si2 Si 0.6445 0.6445 0.6445
Si3 Si 0.8563 0.8563 0.8563
# Space-group type: No. 160
# Uncorrected energy: -4.0111 eV per atom



# 4
# Y2SiPbAu2 (GGA-PBE, relaxed)
data_Y2SiPbAu2
_chemical_formula_sum 'Y8 Si4 Pb4 Au8'
_space_group_name_H-M_alt 'P 1'
_space_group_IT_number 1
_cell_length_a 11.5115
_cell_length_b 4.7241
_cell_length_c 11.5248
_cell_angle_alpha 90.00
_cell_angle_beta 109.42
_cell_angle_gamma 90.00
loop_
_space_group_symop_operation_xyz
'x,y,z'
loop_
_atom_site_label
_atom_site_type_symbol
_atom_site_fract_x
_atom_site_fract_y
_atom_site_fract_z
Au1 Au 0.3741 0.5000 0.1254
Au2 Au 0.7662 0.0000 0.2637
Au3 Au 0.1087 0.5000 0.3572
Au4 Au 0.5099 0.0000 0.5147
Au5 Au 0.8694 0.5000 0.6330
Au6 Au 0.2670 0.0000 0.7459
Au7 Au 0.6301 0.5000 0.8687
Au8 Au 0.9849 0.0000 0.9952
Pb1 Pb 0.6288 0.5000 0.1294
Pb2 Pb 0.3736 0.5000 0.3754
Pb3 Pb 0.1276 0.5000 0.6238
Pb4 Pb 0.2490 0.0000 0.9973
Si1 Si 0.9952 0.0000 0.2466
Si2 Si 0.7511 0.0000 0.5054
Si3 Si 0.5020 0.0000 0.7482
Si4 Si 0.8704 0.5000 0.8736
Y1 Y 0.1112 0.5000 0.1137
Y2 Y 0.5085 0.0000 0.2595
Y3 Y 0.8744 0.5000 0.3855
Y4 Y 0.2446 0.0000 0.4881
Y5 Y 0.6272 0.5000 0.6281
Y6 Y 0.9973 0.0000 0.7496
Y7 Y 0.3839 0.5000 0.8729
Y8 Y 0.7451 0.0000 0.9989
# Space-group type: No. 6
# Uncorrected energy: -5.4228 eV per atom
# Total magnetization: 0.00 μB per formula unit



# 5
# Sm2PbAu (GGA-PBE, relaxed)
data_Sm2PbAu
_chemical_formula_sum 'Sm2 Pb1 Au1'
_space_group_name_H-M_alt 'P 1'
_space_group_IT_number 1
_cell_length_a 4.6126
_cell_length_b 6.1661
_cell_length_c 6.1661
_cell_angle_alpha 39.73
_cell_angle_beta 90.00
_cell_angle_gamma 90.00
loop_
_space_group_symop_operation_xyz
'x,y,z'
loop_
_atom_site_label
_atom_site_type_symbol
_atom_site_fract_x
_atom_site_fract_y
_atom_site_fract_z
Au1 Au 0.5000 0.5923 0.5923
Pb1 Pb 0.0000 0.4139 0.4139
Sm1 Sm 0.0000 0.1370 0.1370
Sm2 Sm 0.5000 0.8568 0.8568
# Space-group type: No. 38
# Uncorrected energy: -4.7434 eV per atom
# Total magnetization: 0.00 μB per formula unit



# 6
# Sn2Pb3Au2 (GGA-PBE, relaxed)
data_Sn2Pb3Au2
_chemical_formula_sum 'Sn2 Pb3 Au2'
_space_group_name_H-M_alt 'P 1'
_space_group_IT_number 1
_cell_length_a 8.9160
_cell_length_b 8.9160
_cell_length_c 8.9160
_cell_angle_alpha 33.74
_cell_angle_beta 33.74
_cell_angle_gamma 33.74
loop_
_space_group_symop_operation_xyz
'x,y,z'
loop_
_atom_site_label
_atom_site_type_symbol
_atom_site_fract_x
_atom_site_fract_y
_atom_site_fract_z
Au1 Au 0.0084 0.0084 0.0084
Au2 Au 0.4944 0.4944 0.4944
Pb1 Pb 0.3755 0.3755 0.3755
Pb2 Pb 0.6272 0.6272 0.6272
Pb3 Pb 0.8742 0.8742 0.8742
Sn1 Sn 0.2401 0.2401 0.2401
Sn2 Sn 0.7552 0.7552 0.7552
# Space-group type: No. 160
# Uncorrected energy: -3.5294 eV per atom



# 7
# SnPbAu2 (GGA-PBE, relaxed)
data_SnPbAu2
_chemical_formula_sum 'Sn1 Pb1 Au2'
_space_group_name_H-M_alt 'P 1'
_space_group_IT_number 1
_cell_length_a 4.4724
_cell_length_b 4.4724
_cell_length_c 5.6980
_cell_angle_alpha 90.00
_cell_angle_beta 90.00
_cell_angle_gamma 120.00
loop_
_space_group_symop_operation_xyz
'x,y,z'
loop_
_atom_site_label
_atom_site_type_symbol
_atom_site_fract_x
_atom_site_fract_y
_atom_site_fract_z
Au1 Au 0.0000 0.0000 0.2451
Au2 Au 0.0000 0.0000 0.7549
Pb1 Pb 0.6667 0.3333 0.5000
Sn1 Sn 0.3333 0.6667 0.0000
# Space-group type: No. 187
# Uncorrected energy: -3.6892 eV per atom



# 8
# Sn2PbAu (GGA-PBE, relaxed)
data_Sn2PbAu
_chemical_formula_sum 'Sn2 Pb1 Au1'
_space_group_name_H-M_alt 'P 1'
_space_group_IT_number 1
_cell_length_a 5.2597
_cell_length_b 5.2597
_cell_length_c 5.2597
_cell_angle_alpha 60.00
_cell_angle_beta 60.00
_cell_angle_gamma 60.00
loop_
_space_group_symop_operation_xyz
'x,y,z'
loop_
_atom_site_label
_atom_site_type_symbol
_atom_site_fract_x
_atom_site_fract_y
_atom_site_fract_z
Au1 Au 0.5000 0.5000 0.5000
Pb1 Pb 0.2500 0.2500 0.2500
Sn1 Sn 0.0000 0.0000 0.0000
Sn2 Sn 0.7500 0.7500 0.7500
# Space-group type: No. 216
# Uncorrected energy: -3.6830 eV per atom